Compound: KAgCO3
Source: the Alexandria database
Functional: PBE
Structure: relaxed

Unit cell a=6.097 b=5.842 c=11.212 alpha=105.10 beta=105.68 gamma=90.00
Atoms (fractional coordinates):
O  0.220  0.951  0.195
O  0.473  0.243  0.195
O  0.025  0.548  0.805
K  0.069  0.820  0.639
K  0.569  0.319  0.639
C  0.376  0.127  0.255
O  0.560  0.810  0.621
O  0.438  0.189  0.379
O  0.060  0.311  0.621
Ag  0.641  0.750  0.000
Ag  0.357  0.250  0.000
Ag  0.141  0.750  0.000
Ag  0.857  0.250  0.000
C  0.122  0.372  0.745
K  0.429  0.680  0.361
C  0.876  0.627  0.255
O  0.973  0.451  0.195
O  0.938  0.689  0.379
O  0.778  0.048  0.805
O  0.278  0.256  0.805
O  0.720  0.744  0.195
O  0.525  0.756  0.805
K  0.929  0.180  0.361
C  0.622  0.872  0.745

## Properties
The value obtained for the magnetization is 0.000 μB/f.u. The formation energy (no corrections) is -1.300 eV/atom. The density of states at the Fermi level comes out at 0.000 states/eV per atom. Its symmetry is C2/c.

Compound: K2AgCO4
Source: the Alexandria database
Functional: PBE
Structure: relaxed

Unit cell a=7.753 b=7.753 c=10.276 alpha=131.32 beta=131.32 gamma=65.41
Site moments in Bohr magnetons follow the coordinates.
Atoms (fractional coordinates):
K  0.000  0.000  0.500  0.00
O  0.192  0.943  0.067  0.00
K  0.500  0.000  0.000  0.00
O  0.216  0.287  0.579  0.34
K  0.500  0.500  0.000  0.00
O  0.808  0.057  0.933  0.00
O  0.557  0.308  0.433  0.00
O  0.213  0.284  0.921  0.34
O  0.787  0.716  0.079  0.34
Ag  0.000  0.500  0.500  0.18
O  0.443  0.692  0.567  0.00
Ag  0.000  0.500  0.000  0.18
O  0.784  0.713  0.421  0.34
C  0.500  0.500  0.500  0.00
K  0.500  0.000  0.500  0.00
C  0.000  0.000  0.000  0.00

## Properties
The value obtained for the magnetization is 1.001 μB/f.u. The formation energy (no corrections) is -0.927 eV/atom. The density of states at the Fermi level comes out at 0.629 states/eV per atom. Its symmetry is C2/c.

Compound: KAg3C4O12
Source: the Alexandria database
Functional: PBE
Structure: relaxed

Unit cell a=6.585 b=6.585 c=6.585 alpha=102.00 beta=102.00 gamma=102.00
Atoms (fractional coordinates):
O  0.374  0.626  0.500
Ag  0.000  0.525  0.475
O  0.500  0.104  0.896
C  0.500  0.975  0.025
O  0.896  0.500  0.104
O  0.412  0.016  0.179
C  0.500  0.500  0.500
O  0.588  0.821  0.984
K  0.000  0.000  0.000
C  0.025  0.500  0.975
O  0.984  0.588  0.821
O  0.016  0.179  0.412
O  0.821  0.984  0.588
O  0.104  0.896  0.500
C  0.975  0.025  0.500
O  0.179  0.412  0.016
O  0.500  0.374  0.626
O  0.626  0.500  0.374
Ag  0.525  0.475  0.000
Ag  0.475  0.000  0.525

## Properties
The value obtained for the magnetization is 0.000 μB/f.u. The formation energy (no corrections) is -0.958 eV/atom. The density of states at the Fermi level comes out at 0.372 states/eV per atom. Its symmetry is R32.

Compound: KAgCS2
Source: the Alexandria database
Functional: PBE
Structure: relaxed

Unit cell a=4.273 b=5.110 c=4.273 alpha=90.00 beta=90.00 gamma=90.00
Atoms (fractional coordinates):
C  0.000  0.000  0.000
K  0.000  0.500  0.000
S  0.000  0.000  0.500
S  0.500  0.000  0.000
Ag  0.500  0.500  0.500

## Properties
The value obtained for the magnetization is 0.000 μB/f.u. The formation energy (no corrections) is 1.051 eV/atom. The density of states at the Fermi level comes out at 0.614 states/eV per atom. Its symmetry is P4/mmm. The calculation puts the energy above the lowest structure with this stoichiometry at 338 meV/atom.

Compound: KAgCS2
Source: the Alexandria database
Functional: PBE
Structure: relaxed

Unit cell a=4.647 b=4.274 c=4.647 alpha=90.00 beta=90.00 gamma=90.00
Atoms (fractional coordinates):
S  0.500  0.000  0.000
K  0.500  0.500  0.500
C  0.000  0.000  0.000
S  0.000  0.000  0.500
Ag  0.000  0.500  0.000

## Properties
The value obtained for the magnetization is 0.000 μB/f.u. The formation energy (no corrections) is 0.713 eV/atom. The density of states at the Fermi level comes out at 0.418 states/eV per atom. Its symmetry is P4/mmm. The calculation puts the energy above the lowest structure with this stoichiometry at 0 meV/atom.

Compound: KAgSb2C
Source: the Alexandria database
Functional: PBE
Structure: relaxed

Unit cell a=5.888 b=4.457 c=5.888 alpha=90.00 beta=90.00 gamma=90.00
Atoms (fractional coordinates):
Sb  0.500  0.000  0.000
C  0.000  0.500  0.000
Sb  0.000  0.000  0.500
Ag  0.500  0.500  0.500
K  0.000  0.000  0.000

## Properties
The value obtained for the magnetization is 0.000 μB/f.u. The formation energy (no corrections) is 2.281 eV/atom. The density of states at the Fermi level comes out at 1.145 states/eV per atom. Its symmetry is P4/mmm.

Compound: KAg2CSe
Source: the Alexandria database
Functional: PBE
Structure: relaxed

Unit cell a=4.358 b=5.482 c=4.358 alpha=90.00 beta=90.00 gamma=90.00
Site moments in Bohr magnetons follow the coordinates.
Atoms (fractional coordinates):
C  0.000  0.000  0.000  0.26
K  0.000  0.500  0.000  0.02
Ag  0.000  0.000  0.500  0.03
Ag  0.500  0.000  0.000  0.05
Se  0.500  0.500  0.500  0.05

## Properties
The value obtained for the magnetization is 0.660 μB/f.u. The formation energy (no corrections) is 0.738 eV/atom. The density of states at the Fermi level comes out at 0.868 states/eV per atom. Its symmetry is P4/mmm.

Compound: K2SiAgC
Source: the Alexandria database
Functional: PBE
Structure: relaxed

Unit cell a=6.424 b=6.424 c=3.909 alpha=90.00 beta=90.00 gamma=90.00
Site moments in Bohr magnetons follow the coordinates.
Atoms (fractional coordinates):
Si  0.500  0.500  0.500  0.46
Ag  0.000  0.000  0.000  0.00
K  0.000  0.500  0.000  0.02
K  0.500  0.000  0.000  0.02
C  0.000  0.000  0.500  -0.03

## Properties
The value obtained for the magnetization is 1.764 μB/f.u. The formation energy (no corrections) is 1.149 eV/atom. The density of states at the Fermi level comes out at 0.436 states/eV per atom. Its symmetry is P4/mmm.

Compound: K2TlAgC
Source: the Alexandria database
Functional: PBE
Structure: relaxed

Unit cell a=6.773 b=6.773 c=4.080 alpha=90.00 beta=90.00 gamma=90.00
Atoms (fractional coordinates):
Ag  0.500  0.500  0.500
Tl  0.000  0.000  0.000
K  0.500  0.000  0.000
K  0.000  0.500  0.000
C  0.000  0.000  0.500

## Properties
For the calculated total energy, the calculation gives -2.374 eV per atom. The value obtained for the magnetization is 0.000 μB/f.u. The density of states at the Fermi level comes out at 0.287 states/eV per atom. Its symmetry is P4/mmm.

Compound: La12Ag3C5
Source: the Alexandria database
Functional: PBE
Structure: relaxed

Unit cell a=14.404 b=14.404 c=14.404 alpha=109.47 beta=109.47 gamma=109.47
Atoms (fractional coordinates):
La  0.904  0.087  0.886
C  0.000  0.500  0.500
Ag  0.375  0.625  0.250
La  0.519  0.201  0.114
La  0.019  0.404  0.818
Ag  0.250  0.625  0.875
La  0.201  0.682  0.087
C  0.500  0.000  0.500
La  0.596  0.614  0.413
La  0.701  0.587  0.182
Ag  0.875  0.750  0.125
C  0.375  0.125  0.750
La  0.886  0.587  0.904
C  0.875  0.250  0.625
La  0.481  0.682  0.096
La  0.682  0.481  0.596
La  0.299  0.886  0.981
La  0.114  0.701  0.519
La  0.818  0.913  0.299
C  0.500  0.000  0.000
La  0.587  0.701  0.682
C  0.125  0.375  0.250
La  0.799  0.318  0.913
La  0.404  0.019  0.318
C  0.375  0.250  0.125
La  0.886  0.299  0.481
C  0.250  0.375  0.625
C  0.000  0.500  0.000
Ag  0.750  0.875  0.625
La  0.596  0.981  0.682
La  0.413  0.299  0.318
La  0.386  0.404  0.087
La  0.904  0.818  0.519
C  0.000  0.000  0.500
C  0.125  0.750  0.375
La  0.587  0.886  0.404
Ag  0.250  0.125  0.375
Ag  0.125  0.875  0.750
La  0.318  0.799  0.413
Ag  0.125  0.250  0.875
La  0.682  0.201  0.587
La  0.201  0.519  0.614
La  0.519  0.318  0.904
La  0.318  0.519  0.404
La  0.404  0.386  0.587
La  0.019  0.614  0.701
La  0.614  0.596  0.913
La  0.818  0.904  0.019
La  0.614  0.019  0.201
La  0.413  0.114  0.596
La  0.913  0.096  0.614
Ag  0.750  0.375  0.125
C  0.000  0.000  0.000
C  0.750  0.625  0.375
La  0.386  0.981  0.799
La  0.182  0.087  0.701
C  0.500  0.500  0.000
La  0.913  0.818  0.799
C  0.500  0.500  0.500
C  0.750  0.125  0.875
C  0.875  0.625  0.750
Ag  0.625  0.375  0.750
Ag  0.625  0.250  0.375
La  0.182  0.096  0.981
La  0.981  0.386  0.299
La  0.481  0.799  0.886
La  0.096  0.182  0.481
La  0.299  0.413  0.818
La  0.981  0.596  0.182
La  0.701  0.114  0.019
C  0.625  0.750  0.875
Ag  0.375  0.750  0.625
Ag  0.875  0.125  0.250
La  0.087  0.182  0.201
La  0.087  0.904  0.386
La  0.799  0.481  0.386
La  0.114  0.413  0.096
La  0.096  0.913  0.114
C  0.250  0.875  0.125
C  0.625  0.875  0.250

## Properties
For the calculated total energy, the calculation gives -5.681 eV per atom. The value obtained for the magnetization is 0.000 μB/f.u. The density of states at the Fermi level comes out at 1.121 states/eV per atom. Its symmetry is Ia-3d.

Compound: LaAgC
Source: the Alexandria database
Functional: PBE
Structure: relaxed

Unit cell a=7.073 b=5.355 c=6.079 alpha=90.00 beta=90.00 gamma=90.00
Atoms (fractional coordinates):
C  0.170  0.250  0.540
La  0.332  0.250  0.145
C  0.830  0.750  0.460
La  0.168  0.750  0.645
Ag  0.461  0.250  0.664
C  0.670  0.250  0.960
Ag  0.961  0.250  0.836
Ag  0.539  0.750  0.336
La  0.832  0.250  0.355
La  0.668  0.750  0.855
C  0.330  0.750  0.040
Ag  0.039  0.750  0.164

## Properties
For the calculated total energy, the calculation gives -5.481 eV per atom. The value obtained for the magnetization is 0.000 μB/f.u. The density of states at the Fermi level comes out at 0.015 states/eV per atom. Its symmetry is Pnma.

Compound: La6Ag3C
Source: the Alexandria database
Functional: PBE
Structure: relaxed

Unit cell a=6.855 b=8.223 c=10.676 alpha=90.00 beta=85.91 gamma=90.00
Atoms (fractional coordinates):
Ag  0.422  0.105  0.258
C  0.000  0.000  0.000
La  0.816  0.654  0.553
La  0.374  0.783  0.436
Ag  0.922  0.395  0.758
La  0.684  0.154  0.947
La  0.126  0.283  0.064
La  0.141  0.047  0.773
La  0.316  0.846  0.053
Ag  0.000  0.000  0.500
Ag  0.578  0.895  0.742
La  0.874  0.717  0.936
La  0.859  0.953  0.227
C  0.500  0.500  0.500
La  0.641  0.453  0.273
Ag  0.078  0.605  0.242
La  0.626  0.217  0.564
La  0.359  0.547  0.727
Ag  0.500  0.500  0.000
La  0.184  0.346  0.447

## Properties
For the calculated total energy, the calculation gives -4.870 eV per atom. The value obtained for the magnetization is 0.000 μB/f.u. The density of states at the Fermi level comes out at 1.232 states/eV per atom. Its symmetry is P2_1/c.